# Sr4Co6F19

A relaxed Sr4Co6F19 crystal (PBE with a Hubbard U, Alexandria).

Results
Space group = I23
Final energy = -0.194 hartree per atom

a b c (Å): 7.9748 7.9748 7.9748
angles (deg): 109.47 109.47 109.47
Last column: nearest neighbours and their distance in Å.
Fractional positions:
Sr (0.3274, 0.3274, 0.3274)  10 F 2.61-2.70
Sr (0.0000, 0.0000, 0.6726)  10 F 2.61-2.70
Sr (0.0000, 0.6726, 0.0000)  10 F 2.61-2.70
Sr (0.6726, 0.0000, 0.0000)  10 F 2.61-2.70
Co (0.3383, 0.5000, 0.8383)  6 F 2.05-2.11
Co (0.6617, 0.5000, 0.1617)  6 F 2.05-2.11
Co (0.5000, 0.1617, 0.6617)  6 F 2.05-2.11
Co (0.5000, 0.8383, 0.3383)  6 F 2.05-2.11
Co (0.1617, 0.6617, 0.5000)  6 F 2.05-2.11
Co (0.8383, 0.3383, 0.5000)  6 F 2.05-2.11
F (0.6035, 0.2651, 0.2313)  2 Co 2.05-2.08
F (0.0000, 0.6628, 0.6628)  2 Co 2.11
F (0.0338, 0.3722, 0.7687)  2 Co 2.05-2.08
F (0.6628, 0.0000, 0.6628)  2 Co 2.11
F (0.0000, 0.0000, 0.0000)  4 Sr 2.61
F (0.3372, 0.0000, 0.3372)  2 Co 2.11
F (0.3965, 0.6278, 0.6617)  2 Co 2.05-2.08
F (0.7349, 0.3383, 0.9662)  2 Co 2.05-2.08
F (0.0000, 0.3372, 0.3372)  2 Co 2.11
F (0.3722, 0.7687, 0.0338)  2 Co 2.05-2.08
F (0.3383, 0.9662, 0.7349)  2 Co 2.05-2.08
F (0.3372, 0.3372, 0.0000)  2 Co 2.11
F (0.6617, 0.3965, 0.6278)  2 Co 2.05-2.08
F (0.2651, 0.2313, 0.6035)  2 Co 2.05-2.08
F (0.6628, 0.6628, 0.0000)  2 Co 2.11
F (0.2313, 0.6035, 0.2651)  2 Co 2.05-2.08
F (0.9662, 0.7349, 0.3383)  2 Co 2.05-2.08
F (0.7687, 0.0338, 0.3722)  2 Co 2.05-2.08
F (0.6278, 0.6617, 0.3965)  2 Co 2.05-2.08